Version 1
Density functional theory data (GGA+U) for a relaxed BeCr2BF crystal.

Cell: 4.548 4.548 3.106 Å, 90.00 90.00 90.00°
Space group P4/mmm (No. 123)
One atom of each set of equivalent atoms:
Be 0.000 0.000 0.000
Cr 0.000 0.500 0.500
B 0.500 0.500 0.000
F 0.000 0.000 0.500

Values from the calculation:
D(E_F) = 2.17 states/eV/cell



Version 2
Density functional theory data (GGA+U) for a relaxed BeCr2BF crystal.

Cell: 4.367 4.367 3.502 Å, 90.00 90.00 90.00°
Space group P4/mmm (No. 123)
One atom of each set of equivalent atoms:
Be 0.000 0.000 0.000
Cr 0.000 0.500 0.500
B 0.500 0.500 0.000
F 0.500 0.500 0.500

Values from the calculation:
D(E_F) = 1.59 states/eV/cell



Stability ranking, top and bottom: version 1 is the most stable and version 2 is the least stable.